Entry 1:
# Hf3MnCd, single point on PBEsol structure, DFT meta-GGA SCAN
# Total energy, eV/atom: -47.003
# M_tot, μB/f.u.: 0.00
data_Hf3MnCd
_chemical_formula_sum 'Hf3 Mn1 Cd1'
_cell_length_a 4.732
_cell_length_b 4.732
_cell_length_c 4.732
_cell_angle_alpha 90.00
_cell_angle_beta 90.00
_cell_angle_gamma 90.00
_symmetry_space_group_name_H-M 'P m -3 m'
_symmetry_Int_Tables_number 221
_symmetry_space_group_name_Hall '-P 4 2 3'
loop_
_atom_site_label
_atom_site_fract_x
_atom_site_fract_y
_atom_site_fract_z
_atom_site_occupancy
Hf1 0.000 0.000 0.500 1
Mn1 0.000 0.000 0.000 1
Cd1 0.500 0.500 0.500 1



Entry 2:
# HfMn3Cd, single point on PBEsol structure, DFT meta-GGA SCAN
# Total energy, eV/atom: -28.540
# M_tot, μB/f.u.: 9.50
data_HfMn3Cd
_chemical_formula_sum 'Hf1 Mn3 Cd1'
_cell_length_a 4.663
_cell_length_b 4.663
_cell_length_c 4.663
_cell_angle_alpha 90.00
_cell_angle_beta 90.00
_cell_angle_gamma 90.00
_symmetry_space_group_name_H-M 'P m -3 m'
_symmetry_Int_Tables_number 221
_symmetry_space_group_name_Hall '-P 4 2 3'
loop_
_atom_site_label
_atom_site_fract_x
_atom_site_fract_y
_atom_site_fract_z
_atom_site_occupancy
Hf1 0.000 0.000 0.000 1
Mn1 0.000 0.000 0.500 1
Cd1 0.500 0.500 0.500 1



Entry 3:
# Hf3CdN, single point on PBEsol structure, DFT meta-GGA SCAN
# Formation energy without anion corrections, eV/f.u.: -4.18
# M_tot, μB/f.u.: 0.00
data_Hf3CdN
_chemical_formula_sum 'Hf3 Cd1 N1'
_cell_length_a 4.398
_cell_length_b 4.398
_cell_length_c 4.398
_cell_angle_alpha 90.00
_cell_angle_beta 90.00
_cell_angle_gamma 90.00
_symmetry_space_group_name_H-M 'P m -3 m'
_symmetry_Int_Tables_number 221
_symmetry_space_group_name_Hall '-P 4 2 3'
loop_
_atom_site_label
_atom_site_fract_x
_atom_site_fract_y
_atom_site_fract_z
_atom_site_occupancy
Hf1 0.000 0.000 0.500 1
Cd1 0.500 0.500 0.500 1
N1 0.000 0.000 0.000 1



Entry 4:
# HfCdNO2, single point on PBEsol structure, DFT meta-GGA SCAN
# Formation energy without anion corrections, eV/f.u.: 0.19
# M_tot, μB/f.u.: 0.00
data_HfCdNO2
_chemical_formula_sum 'Hf1 Cd1 N1 O2'
_cell_length_a 3.970
_cell_length_b 3.970
_cell_length_c 4.090
_cell_angle_alpha 90.00
_cell_angle_beta 90.00
_cell_angle_gamma 90.00
_symmetry_space_group_name_H-M 'P 4/m m m'
_symmetry_Int_Tables_number 123
_symmetry_space_group_name_Hall '-P 4 2'
loop_
_atom_site_label
_atom_site_fract_x
_atom_site_fract_y
_atom_site_fract_z
_atom_site_occupancy
Hf1 0.000 0.000 0.000 1
Cd1 0.500 0.500 0.500 1
N1 0.500 0.500 0.000 1
O1 0.000 0.500 0.500 1



Entry 5:
# NaHf3Cd, single point on PBEsol structure, DFT meta-GGA SCAN
# Total energy, eV/atom: -42.984
# M_tot, μB/f.u.: 0.00
data_NaHf3Cd
_chemical_formula_sum 'Na1 Hf3 Cd1'
_cell_length_a 4.882
_cell_length_b 4.882
_cell_length_c 4.882
_cell_angle_alpha 90.00
_cell_angle_beta 90.00
_cell_angle_gamma 90.00
_symmetry_space_group_name_H-M 'P m -3 m'
_symmetry_Int_Tables_number 221
_symmetry_space_group_name_Hall '-P 4 2 3'
loop_
_atom_site_label
_atom_site_fract_x
_atom_site_fract_y
_atom_site_fract_z
_atom_site_occupancy
Na1 0.000 0.000 0.000 1
Hf1 0.000 0.000 0.500 1
Cd1 0.500 0.500 0.500 1



Entry 6:
# NaHfCdNi2, single point on PBEsol structure, DFT meta-GGA SCAN
# Total energy, eV/atom: -24.797
# M_tot, μB/f.u.: 0.00
data_NaHfCdNi2
_chemical_formula_sum 'Na1 Hf1 Cd1 Ni2'
_cell_length_a 4.529
_cell_length_b 4.529
_cell_length_c 5.375
_cell_angle_alpha 90.00
_cell_angle_beta 90.00
_cell_angle_gamma 90.00
_symmetry_space_group_name_H-M 'P 4/m m m'
_symmetry_Int_Tables_number 123
_symmetry_space_group_name_Hall '-P 4 2'
loop_
_atom_site_label
_atom_site_fract_x
_atom_site_fract_y
_atom_site_fract_z
_atom_site_occupancy
Na1 0.000 0.000 0.000 1
Hf1 0.000 0.000 0.500 1
Cd1 0.500 0.500 0.000 1
Ni1 0.000 0.500 0.500 1



Entry 7:
# HfNb3Cd, single point on PBEsol structure, DFT meta-GGA SCAN
# Total energy, eV/atom: -37.058
# M_tot, μB/f.u.: 0.00
data_HfNb3Cd
_chemical_formula_sum 'Hf1 Nb3 Cd1'
_cell_length_a 4.851
_cell_length_b 4.851
_cell_length_c 4.851
_cell_angle_alpha 90.00
_cell_angle_beta 90.00
_cell_angle_gamma 90.00
_symmetry_space_group_name_H-M 'P m -3 m'
_symmetry_Int_Tables_number 221
_symmetry_space_group_name_Hall '-P 4 2 3'
loop_
_atom_site_label
_atom_site_fract_x
_atom_site_fract_y
_atom_site_fract_z
_atom_site_occupancy
Hf1 0.000 0.000 0.000 1
Nb1 0.000 0.000 0.500 1
Cd1 0.500 0.500 0.500 1



Entry 8:
# HfSc2NbCd, single point on PBEsol structure, DFT meta-GGA SCAN
# Total energy, eV/atom: -29.872
# M_tot, μB/f.u.: 0.00
data_HfSc2NbCd
_chemical_formula_sum 'Hf1 Sc2 Nb1 Cd1'
_cell_length_a 4.971
_cell_length_b 4.971
_cell_length_c 5.156
_cell_angle_alpha 90.00
_cell_angle_beta 90.00
_cell_angle_gamma 90.00
_symmetry_space_group_name_H-M 'P 4/m m m'
_symmetry_Int_Tables_number 123
_symmetry_space_group_name_Hall '-P 4 2'
loop_
_atom_site_label
_atom_site_fract_x
_atom_site_fract_y
_atom_site_fract_z
_atom_site_occupancy
Hf1 0.000 0.000 0.000 1
Sc1 0.000 0.500 0.500 1
Nb1 0.500 0.500 0.000 1
Cd1 0.500 0.500 0.500 1



Entry 9:
# HfCdNiS2, single point on PBEsol structure, DFT meta-GGA SCAN
# Formation energy without anion corrections, eV/f.u.: 1.06
# M_tot, μB/f.u.: 1.86
data_HfCdNiS2
_chemical_formula_sum 'Hf1 Cd1 Ni1 S2'
_cell_length_a 4.776
_cell_length_b 4.776
_cell_length_c 5.569
_cell_angle_alpha 90.00
_cell_angle_beta 90.00
_cell_angle_gamma 90.00
_symmetry_space_group_name_H-M 'P 4/m m m'
_symmetry_Int_Tables_number 123
_symmetry_space_group_name_Hall '-P 4 2'
loop_
_atom_site_label
_atom_site_fract_x
_atom_site_fract_y
_atom_site_fract_z
_atom_site_occupancy
Hf1 0.000 0.000 0.000 1
Cd1 0.000 0.000 0.500 1
Ni1 0.500 0.500 0.500 1
S1 0.000 0.500 0.000 1



Entry 10:
# HfTiCd2O, single point on PBEsol structure, DFT meta-GGA SCAN
# Formation energy without anion corrections, eV/f.u.: -2.45
# M_tot, μB/f.u.: 2.54
data_HfTiCd2O
_chemical_formula_sum 'Hf1 Ti1 Cd2 O1'
_cell_length_a 4.848
_cell_length_b 4.848
_cell_length_c 3.990
_cell_angle_alpha 90.00
_cell_angle_beta 90.00
_cell_angle_gamma 90.00
_symmetry_space_group_name_H-M 'P 4/m m m'
_symmetry_Int_Tables_number 123
_symmetry_space_group_name_Hall '-P 4 2'
loop_
_atom_site_label
_atom_site_fract_x
_atom_site_fract_y
_atom_site_fract_z
_atom_site_occupancy
Hf1 0.000 0.000 0.000 1
Ti1 0.500 0.500 0.000 1
Cd1 0.000 0.500 0.500 1
O1 0.000 0.000 0.500 1



Entry 11:
# HfZrCd2Os, single point on PBEsol structure, DFT meta-GGA SCAN
# Total energy, eV/atom: -43.766
# M_tot, μB/f.u.: 0.00
data_HfZrCd2Os
_chemical_formula_sum 'Hf1 Zr1 Cd2 Os1'
_cell_length_a 5.146
_cell_length_b 5.146
_cell_length_c 4.610
_cell_angle_alpha 90.00
_cell_angle_beta 90.00
_cell_angle_gamma 90.00
_symmetry_space_group_name_H-M 'P 4/m m m'
_symmetry_Int_Tables_number 123
_symmetry_space_group_name_Hall '-P 4 2'
loop_
_atom_site_label
_atom_site_fract_x
_atom_site_fract_y
_atom_site_fract_z
_atom_site_occupancy
Hf1 0.000 0.000 0.000 1
Zr1 0.500 0.500 0.500 1
Cd1 0.000 0.500 0.500 1
Os1 0.500 0.500 0.000 1



Entry 12:
# HfCd3P, single point on PBEsol structure, DFT meta-GGA SCAN
# Total energy, eV/atom: -31.474
# M_tot, μB/f.u.: 0.00
data_HfCd3P
_chemical_formula_sum 'Hf1 Cd3 P1'
_cell_length_a 5.374
_cell_length_b 5.374
_cell_length_c 5.374
_cell_angle_alpha 90.00
_cell_angle_beta 90.00
_cell_angle_gamma 90.00
_symmetry_space_group_name_H-M 'P m -3 m'
_symmetry_Int_Tables_number 221
_symmetry_space_group_name_Hall '-P 4 2 3'
loop_
_atom_site_label
_atom_site_fract_x
_atom_site_fract_y
_atom_site_fract_z
_atom_site_occupancy
Hf1 0.000 0.000 0.000 1
Cd1 0.000 0.000 0.500 1
P1 0.500 0.500 0.500 1



Entry 13:
# HfCdP3, single point on PBEsol structure, DFT meta-GGA SCAN
# Total energy, eV/atom: -23.649
# M_tot, μB/f.u.: 0.00
data_HfCdP3
_chemical_formula_sum 'Hf1 Cd1 P3'
_cell_length_a 4.738
_cell_length_b 4.738
_cell_length_c 4.738
_cell_angle_alpha 90.00
_cell_angle_beta 90.00
_cell_angle_gamma 90.00
_symmetry_space_group_name_H-M 'P m -3 m'
_symmetry_Int_Tables_number 221
_symmetry_space_group_name_Hall '-P 4 2 3'
loop_
_atom_site_label
_atom_site_fract_x
_atom_site_fract_y
_atom_site_fract_z
_atom_site_occupancy
Hf1 0.000 0.000 0.000 1
Cd1 0.500 0.500 0.500 1
P1 0.000 0.500 0.500 1



Entry 14:
# Hf3CdP, single point on PBEsol structure, DFT meta-GGA SCAN
# Total energy, eV/atom: -44.386
# M_tot, μB/f.u.: 0.00
data_Hf3CdP
_chemical_formula_sum 'Hf3 Cd1 P1'
_cell_length_a 5.047
_cell_length_b 5.047
_cell_length_c 5.047
_cell_angle_alpha 90.00
_cell_angle_beta 90.00
_cell_angle_gamma 90.00
_symmetry_space_group_name_H-M 'P m -3 m'
_symmetry_Int_Tables_number 221
_symmetry_space_group_name_Hall '-P 4 2 3'
loop_
_atom_site_label
_atom_site_fract_x
_atom_site_fract_y
_atom_site_fract_z
_atom_site_occupancy
Hf1 0.000 0.000 0.500 1
Cd1 0.000 0.000 0.000 1
P1 0.500 0.500 0.500 1



It is found that the calculated volume values, taken in the order of the records, are 106.0; 101.4; 85.0; 64.5; 116.3; 110.2; 114.1; 127.4; 127.0; 93.8; 122.1; 155.2; 106.4; 128.6 Å³ per cell.